Cs2BCI6 | Alexandria | PBE-GGA | relaxed; size of the total moment = 0.000 μB/atom; formation energy from raw total energies = 0.156 eV per atom; electronic total energy = -2.5353 eV/atom; SG = I4/mmm, No. 139
1.0
-3.7149 3.7149 6.5592
3.7149 -3.7149 6.5592
3.7149 3.7149 -6.5592
Cs B C I
2 1 1 6
Cartesian
3.7149 0.0000 3.2796
0.0000 3.7149 3.2796
0.0000 0.0000 0.0000
0.0000 0.0000 6.5592
1.7729 1.7729 0.0000
1.9420 -1.9420 6.5592
0.0000 0.0000 3.8533
0.0000 0.0000 9.2652
-1.9420 1.9420 6.5592
1.9420 1.9420 6.5592